Record 1
A relaxed structure of Y2BeCdB, computed with PBE.

Lattice parameters (Å, degrees): 5.201 5.201 3.734 90.00 90.00 90.00
Element x y z (fractional)
Y1 0.000 0.500 0.000
Y2 0.500 0.000 0.000
Be1 0.000 0.000 0.500
B1 0.000 0.000 0.000
Cd1 0.500 0.500 0.500

The value obtained for the total magnetization is 0.00 μB/f.u. The formation energy from the elements comes out at -0.1202 eV/atom. Its raw total energy is -4.970 eV/atom. Its symmetry is P4/mmm.

Record 2
A relaxed structure of PaTa4Nb, computed with PBE.

Lattice parameters (Å, degrees): 5.567 5.567 5.567 60.00 60.00 60.00
Element x y z (fractional)
Nb1 0.250 0.250 0.250
Pa1 0.000 0.000 0.000
Ta1 0.625 0.625 0.124
Ta2 0.625 0.124 0.625
Ta3 0.625 0.625 0.625
Ta4 0.124 0.625 0.625

The value obtained for the total magnetization is 0.00 μB/f.u. The formation energy from the elements comes out at 0.1861 eV/atom. Its raw total energy is -10.977 eV/atom. Its symmetry is F-43m.

Record 3
A relaxed structure of CrIrBr2, computed with PBE.

Lattice parameters (Å, degrees): 5.375 5.375 3.534 69.20 69.20 103.88
Element x y z (fractional)
Br1 0.000 0.000 0.000
Br2 0.500 0.500 0.000
Cr1 0.500 0.000 0.500
Ir1 0.000 0.500 0.500

For the polymorph energy (0 for the lowest one), the calculation gives 672.0 meV/atom. The value obtained for the total magnetization is 4.03 μB/f.u. Its raw total energy is -4.770 eV/atom. Its symmetry is C2/m.

Record 4
A relaxed structure of MoPb3Cl, computed with PBE.

Lattice parameters (Å, degrees): 5.386 5.386 5.386 90.00 90.00 90.00
Element x y z (fractional)
Pb1 0.000 0.500 0.000
Pb2 0.000 0.000 0.500
Pb3 0.500 0.000 0.000
Mo1 0.000 0.000 0.000
Cl1 0.500 0.500 0.500

For the polymorph energy (0 for the lowest one), the calculation gives 0.0 meV/atom. The value obtained for the total magnetization is 0.00 μB/f.u. Its raw total energy is -4.655 eV/atom. Its symmetry is Pm-3m.

Record 5
A relaxed structure of AcAlHg2, computed with PBE.

Lattice parameters (Å, degrees): 6.282 7.510 8.932 90.00 90.00 90.00
Element x y z (fractional)
Ac1 0.368 0.250 0.046
Ac2 0.868 0.750 0.454
Ac3 0.632 0.750 0.954
Ac4 0.132 0.250 0.546
Al1 0.635 0.250 0.399
Al2 0.135 0.750 0.101
Al3 0.365 0.750 0.601
Al4 0.865 0.250 0.899
Hg1 0.872 0.047 0.180
Hg2 0.372 0.953 0.320
Hg3 0.128 0.547 0.820
Hg4 0.628 0.453 0.680
Hg5 0.128 0.953 0.820
Hg6 0.628 0.047 0.680
Hg7 0.872 0.453 0.180
Hg8 0.372 0.547 0.320

The value obtained for the total magnetization is 0.00 μB/f.u. The formation energy from the elements comes out at -0.3315 eV/atom. Its raw total energy is -2.445 eV/atom. Its symmetry is Pnma.

Record 6
A relaxed structure of NbHSeS, computed with PBE.

Lattice parameters (Å, degrees): 3.397 3.397 7.306 89.99 103.46 120.00
Element x y z (fractional)
Nb1 0.513 0.621 0.134
H1 0.839 0.284 0.122
Se1 0.008 0.869 0.877
S1 0.332 0.031 0.363

The value obtained for the total magnetization is 0.00 μB/f.u. Its raw total energy is -6.058 eV/atom. Its symmetry is R3m.

Record 7
A relaxed structure of LiDyEr2, computed with PBE.

Lattice parameters (Å, degrees): 3.433 3.433 12.207 81.92 81.92 60.00
Element x y z (fractional)
Dy1 0.500 0.500 0.500
Li1 0.000 0.000 0.000
Er1 0.089 0.089 0.734
Er2 0.911 0.911 0.266

For the polymorph energy (0 for the lowest one), the calculation gives 114.4 meV/atom. The value obtained for the total magnetization is 0.00 μB/f.u. The formation energy from the elements comes out at 0.1861 eV/atom. Its raw total energy is -3.724 eV/atom. Its symmetry is R-3m.

Record 8
A relaxed structure of Tb7Pm2Y3, computed with PBE.

Lattice parameters (Å, degrees): 3.608 5.817 18.776 93.61 90.00 90.00
Element x y z (fractional)
Tb1 0.500 0.742 0.463
Tb2 0.500 0.258 0.537
Tb3 0.000 0.682 0.143
Tb4 0.000 0.000 0.000
Tb5 0.000 0.318 0.857
Tb6 0.500 0.816 0.824
Tb7 0.500 0.184 0.176
Pm1 0.500 0.707 0.295
Pm2 0.500 0.293 0.705
Y1 0.500 0.500 0.000
Y2 0.000 0.221 0.369
Y3 0.000 0.779 0.631

For the polymorph energy (0 for the lowest one), the calculation gives 10.7 meV/atom. The value obtained for the total magnetization is 0.00 μB/f.u. The formation energy from the elements comes out at 0.0821 eV/atom. Its raw total energy is -5.027 eV/atom. Its symmetry is P2/m.

Record 9
A relaxed structure of SrNdTm2, computed with PBE.

Lattice parameters (Å, degrees): 3.700 3.700 10.543 90.00 90.00 90.00
Element x y z (fractional)
Sr1 0.500 0.500 0.500
Tm1 0.000 0.000 0.777
Tm2 0.000 0.000 0.223
Nd1 0.500 0.500 0.000

For the polymorph energy (0 for the lowest one), the calculation gives 6.1 meV/atom. The value obtained for the total magnetization is 0.00 μB/f.u. The formation energy from the elements comes out at 0.1437 eV/atom. Its raw total energy is -3.704 eV/atom. Its symmetry is P4/mmm.

Record 10
A relaxed structure of Na2Pm3YTe6, computed with PBE.

Lattice parameters (Å, degrees): 7.720 7.720 7.783 99.50 99.50 119.96
Element x y z (fractional)
Na1 0.334 0.666 0.000
Na2 0.666 0.334 0.000
Pm1 0.170 0.830 0.500
Pm2 0.830 0.170 0.500
Pm3 0.500 0.500 0.500
Y1 0.000 0.000 0.000
Te1 0.918 0.590 0.755
Te2 0.756 0.756 0.250
Te3 0.082 0.410 0.245
Te4 0.590 0.918 0.755
Te5 0.244 0.244 0.750
Te6 0.410 0.082 0.245

The value obtained for the total magnetization is 0.00 μB/f.u. Its raw total energy is -4.868 eV/atom. Its symmetry is C2/m.

Record 11
A relaxed structure of CePu5Pd6, computed with PBE.

Lattice parameters (Å, degrees): 5.023 8.703 8.598 59.59 106.98 125.24
Element x y z (fractional)
Ce1 0.000 0.000 0.000
Pu1 0.500 0.823 0.353
Pu2 0.000 0.348 0.303
Pu3 0.500 0.500 0.000
Pu4 0.000 0.652 0.697
Pu5 0.500 0.177 0.647
Pd1 0.767 0.938 0.660
Pd2 0.233 0.403 0.660
Pd3 0.719 0.219 0.000
Pd4 0.281 0.781 0.000
Pd5 0.767 0.597 0.340
Pd6 0.233 0.062 0.340

The value obtained for the total magnetization is 6.57 μB/f.u. The formation energy from the elements comes out at -0.4189 eV/atom. Its raw total energy is -9.481 eV/atom. Its symmetry is Immm.

Record 12
A relaxed structure of KHf2Tl, computed with PBE.

Lattice parameters (Å, degrees): 5.167 5.167 5.167 60.00 60.00 60.00
Element x y z (fractional)
Tl1 0.500 0.500 0.500
Hf1 0.250 0.250 0.250
Hf2 0.750 0.750 0.750
K1 0.000 0.000 0.000

For the polymorph energy (0 for the lowest one), the calculation gives 29.4 meV/atom. The value obtained for the total magnetization is 0.00 μB/f.u. The formation energy from the elements comes out at 0.9617 eV/atom. Its raw total energy is -4.881 eV/atom. Its symmetry is Fm-3m.

Record 13
A relaxed structure of Er4HPd2, computed with PBE.

Lattice parameters (Å, degrees): 4.651 4.651 7.813 107.31 107.31 90.00
Element x y z (fractional)
H1 0.000 0.000 0.000
Pd1 0.624 0.624 0.247
Pd2 0.376 0.376 0.753
Er1 0.814 0.814 0.628
Er2 0.186 0.186 0.372
Er3 0.000 0.500 0.000
Er4 0.500 0.000 0.000

The value obtained for the total magnetization is 0.00 μB/f.u. Its raw total energy is -5.122 eV/atom. Its symmetry is I4/mmm.

Record 14
A relaxed structure of NdDyTmCu, computed with PBE.

Lattice parameters (Å, degrees): 3.502 3.502 8.694 90.00 90.00 90.00
Element x y z (fractional)
Nd1 0.000 0.000 0.075
Dy1 0.500 0.500 0.764
Tm1 0.500 0.500 0.381
Cu1 0.000 0.000 0.565

The value obtained for the total magnetization is 0.00 μB/f.u. The formation energy from the elements comes out at -0.1091 eV/atom. Its raw total energy is -4.594 eV/atom. Its symmetry is P4mm.

Record 15
A relaxed structure of Pm2Sm5Bi4, computed with PBE.

Lattice parameters (Å, degrees): 3.542 8.358 15.180 121.92 96.70 90.00
Element x y z (fractional)
Pm1 0.733 0.648 0.467
Pm2 0.267 0.352 0.533
Sm1 0.169 0.847 0.339
Sm2 0.831 0.153 0.661
Sm3 0.139 0.224 0.278
Sm4 0.500 0.000 0.000
Sm5 0.861 0.776 0.722
Bi1 0.599 0.455 0.198
Bi2 0.050 0.789 0.099
Bi3 0.401 0.545 0.802
Bi4 0.950 0.211 0.901

The value obtained for the total magnetization is 0.00 μB/f.u. The formation energy from the elements comes out at -0.2234 eV/atom. Its raw total energy is -4.643 eV/atom. Its symmetry is C2/m.

Record 16
A relaxed structure of TlCoCu2, computed with PBE.

Lattice parameters (Å, degrees): 3.696 3.696 9.600 78.90 78.90 90.00
Element x y z (fractional)
Tl1 0.000 0.000 0.000
Tl2 0.750 0.250 0.500
Co1 0.500 0.500 0.000
Co2 0.250 0.750 0.500
Cu1 0.596 0.125 0.250
Cu2 0.154 0.625 0.250
Cu3 0.375 0.404 0.750
Cu4 0.875 0.846 0.750

For the polymorph energy (0 for the lowest one), the calculation gives 228.2 meV/atom. The value obtained for the total magnetization is 0.63 μB/f.u. The formation energy from the elements comes out at 0.5690 eV/atom. Its raw total energy is -3.847 eV/atom. Its symmetry is I-42d.

Record 17
A relaxed structure of SrTc3I, computed with PBE.

Lattice parameters (Å, degrees): 5.305 5.305 5.305 90.00 90.00 90.00
Element x y z (fractional)
I1 0.500 0.500 0.500
Sr1 0.000 0.000 0.000
Tc1 0.000 0.500 0.000
Tc2 0.000 0.000 0.500
Tc3 0.500 0.000 0.000

For the polymorph energy (0 for the lowest one), the calculation gives 1347.6 meV/atom. The value obtained for the total magnetization is 9.90 μB/f.u. Its raw total energy is -4.043 eV/atom. Its symmetry is Pm-3m.

Record 18
A relaxed structure of YTe3S, computed with PBE.

Lattice parameters (Å, degrees): 5.255 5.255 5.255 90.00 90.00 90.00
Element x y z (fractional)
Y1 0.500 0.500 0.500
S1 0.000 0.000 0.000
Te1 0.000 0.500 0.000
Te2 0.000 0.000 0.500
Te3 0.500 0.000 0.000

For the polymorph energy (0 for the lowest one), the calculation gives 0.0 meV/atom. The value obtained for the total magnetization is 0.00 μB/f.u. Its raw total energy is -4.167 eV/atom. Its symmetry is Pm-3m.

Record 19
A relaxed structure of PmTmSc, computed with PBE.

Lattice parameters (Å, degrees): 3.416 5.445 5.445 120.00 90.00 90.00
Element x y z (fractional)
Sc1 0.167 0.333 0.667
Tm1 0.666 0.667 0.333
Pm1 0.166 0.000 0.000

For the polymorph energy (0 for the lowest one), the calculation gives 29.0 meV/atom. The value obtained for the total magnetization is 0.00 μB/f.u. The formation energy from the elements comes out at 0.0793 eV/atom. Its raw total energy is -5.105 eV/atom. Its symmetry is P-6m2.

Record 20
A relaxed structure of LaVFeP2, computed with PBE.

Lattice parameters (Å, degrees): 3.829 3.829 6.450 107.27 107.27 90.00
Element x y z (fractional)
La1 0.000 0.000 0.000
V1 0.750 0.250 0.500
Fe1 0.250 0.750 0.500
P1 0.637 0.637 0.275
P2 0.363 0.363 0.725

The value obtained for the total magnetization is 2.30 μB/f.u. The formation energy from the elements comes out at -0.9350 eV/atom. Its raw total energy is -7.601 eV/atom. Its symmetry is I-4m2.